TmBiN2O | the Open Quantum Materials Database | PBE | relaxed; total moment = 0.00 μB per cell; raw total energy = -66.72 eV/cell; symmetry = Pmc2_1
1.0
3.570 0.000 0.000
0.000 6.690 0.000
0.000 0.000 6.087
Tm Bi N O
2 2 4 2
Cartesian
0.000 1.045 0.000
0.000 5.645 3.044
1.785 2.189 3.237
1.785 4.501 0.193
0.000 1.131 3.722
0.000 5.559 0.679
1.785 2.569 5.462
1.785 4.121 2.418
1.785 0.856 1.446
1.785 5.834 4.490